# Nd2MnFeO5 (PBE with a Hubbard U, optimized geometry)
# N(E_F) in states/eV/cell: 0.0
# Symmetry: Cmc2_1, No. 36
# Magnetization in μB/atom: 1.00
# Electronic total energy in eV per atom: -7.7251
data_Nd2MnFeO5
_chemical_formula_sum 'Nd4 Mn2 Fe2 O10'
_space_group_name_H-M_alt 'P 1'
_space_group_IT_number 1
_cell_length_a 7.005
_cell_length_b 7.005
_cell_length_c 9.961
_cell_angle_alpha 90.00
_cell_angle_beta 90.00
_cell_angle_gamma 151.18
loop_
_space_group_symop_operation_xyz
'x,y,z'
loop_
_atom_site_label
_atom_site_type_symbol
_atom_site_fract_x
_atom_site_fract_y
_atom_site_fract_z
Nd1 Nd 0.114 0.886 0.500
Nd2 Nd 0.140 0.860 0.093
Nd3 Nd 0.860 0.140 0.593
Nd4 Nd 0.886 0.114 0.000
Mn1 Mn 0.468 0.532 0.278
Mn2 Mn 0.532 0.468 0.778
Fe1 Fe 0.213 0.787 0.812
Fe2 Fe 0.787 0.213 0.312
O1 O 0.063 0.937 0.868
O2 O 0.283 0.717 0.464
O3 O 0.312 0.688 0.165
O4 O 0.365 0.635 0.811
O5 O 0.494 0.506 0.578
O6 O 0.506 0.494 0.078
O7 O 0.635 0.365 0.311
O8 O 0.688 0.312 0.665
O9 O 0.717 0.283 0.964
O10 O 0.937 0.063 0.368